# 1
Material: TlCdHCl2
Method: DFT, PBE-GGA
State: optimized geometry

E_tot   -2.714 eV per atom

Lattice parameters (Å, degrees): 5.560 5.560 3.771 90.00 90.00 90.00
Fractional coordinates of all 5 atoms:
Cl1 0.500 0.000 0.000
Cl2 0.000 0.500 0.000
H1 0.000 0.000 0.500
Tl1 0.500 0.500 0.500
Cd1 0.000 0.000 0.000


# 2
Material: Ac8PtSe3S4
Method: DFT, PBE-GGA
State: optimized geometry

E_tot   -5.955 eV per atom
Formation energy (no corrections)   -1.8380 eV per atom

Lattice parameters (Å, degrees): 8.809 8.777 8.808 120.12 120.00 90.00
Fractional coordinates of all 16 atoms:
Ac1 0.249 0.757 0.497
Ac2 0.241 0.244 0.992
Ac3 0.248 0.756 0.008
Ac4 0.755 0.764 0.509
Ac5 0.752 0.244 0.992
Ac6 0.751 0.243 0.503
Ac7 0.759 0.756 0.008
Ac8 0.245 0.236 0.491
S1 0.000 0.000 0.000
S2 0.500 0.000 0.500
S3 0.000 0.000 0.500
S4 0.500 0.000 0.000
Se1 0.500 0.500 0.500
Se2 0.000 0.500 0.500
Se3 0.500 0.500 0.000
Pt1 0.000 0.500 0.000


# 3
Material: GeBrF
Method: DFT, PBE-GGA
State: optimized geometry

E_tot   -4.006 eV per atom
Formation energy (no corrections)   -1.2853 eV per atom

Lattice parameters (Å, degrees): 4.370 6.073 7.411 126.94 90.00 90.00
Fractional coordinates of all 6 atoms:
Br1 0.750 0.599 0.323
Br2 0.250 0.401 0.677
Ge1 0.250 0.864 0.765
Ge2 0.750 0.136 0.235
F1 0.250 0.061 0.107
F2 0.750 0.939 0.893


# 4
Material: LaSm2Al
Method: DFT, PBE-GGA
State: optimized geometry

ΔE_f   -5.5 meV per atom
E_tot   -4.533 eV per atom

Lattice parameters (Å, degrees): 5.477 5.477 5.477 60.00 60.00 60.00
Fractional coordinates of all 4 atoms:
Sm1 0.750 0.750 0.750
Sm2 0.250 0.250 0.250
Al1 0.000 0.000 0.000
La1 0.500 0.500 0.500


# 5
Material: Nd4DyTm15
Method: DFT, PBE-GGA
State: optimized geometry

ΔE_f   27.2 meV per atom
E_tot   -4.510 eV per atom

Lattice parameters (Å, degrees): 4.996 4.996 24.877 90.00 90.00 90.00
Fractional coordinates of all 20 atoms:
Tm1 0.000 0.500 0.901
Tm2 0.500 0.500 0.801
Tm3 0.500 0.500 0.000
Tm4 0.500 0.000 0.099
Tm5 0.500 0.500 0.199
Tm6 0.500 0.000 0.500
Tm7 0.000 0.500 0.099
Tm8 0.000 0.500 0.299
Tm9 0.500 0.000 0.901
Tm10 0.000 0.500 0.701
Tm11 0.500 0.500 0.400
Tm12 0.500 0.500 0.600
Tm13 0.500 0.000 0.299
Tm14 0.500 0.000 0.701
Tm15 0.000 0.500 0.500
Nd1 0.000 0.000 0.400
Nd2 0.000 0.000 0.600
Nd3 0.000 0.000 0.801
Nd4 0.000 0.000 0.199
Dy1 0.000 0.000 0.000


# 6
Material: Re2PdCl
Method: DFT, PBE-GGA
State: optimized geometry

E_tot   -6.961 eV per atom
Formation energy (no corrections)   1.0225 eV per atom

Lattice parameters (Å, degrees): 3.751 3.751 10.322 79.53 79.53 90.00
Fractional coordinates of all 8 atoms:
Pd1 0.750 0.250 0.500
Pd2 0.000 0.000 0.000
Re1 0.375 0.320 0.750
Re2 0.070 0.625 0.250
Re3 0.875 0.930 0.750
Re4 0.680 0.125 0.250
Cl1 0.250 0.750 0.500
Cl2 0.500 0.500 0.000


# 7
Material: Rb2VCuS4
Method: DFT, PBE-GGA
State: optimized geometry

E_tot   -4.983 eV per atom
Formation energy (no corrections)   -1.0251 eV per atom

Lattice parameters (Å, degrees): 5.426 7.337 12.294 85.32 77.25 68.30
Fractional coordinates of all 16 atoms:
Rb1 0.177 0.000 0.646
Rb2 0.927 0.500 0.146
Rb3 0.573 0.500 0.854
Rb4 0.823 0.000 0.354
S1 0.441 0.687 0.396
S2 0.587 0.187 0.104
S3 0.226 0.187 0.896
S4 0.872 0.687 0.604
S5 0.309 0.813 0.104
S6 0.878 0.813 0.896
S7 0.163 0.313 0.396
S8 0.524 0.313 0.604
V1 0.500 0.000 0.000
V2 0.250 0.500 0.500
Cu1 0.000 0.000 0.000
Cu2 0.750 0.500 0.500


# 8
Material: DyHo14Er
Method: DFT, PBE-GGA
State: optimized geometry

ΔE_f   3.6 meV per atom
E_tot   -4.575 eV per atom

Lattice parameters (Å, degrees): 7.064 7.064 11.353 90.00 90.00 119.97
Fractional coordinates of all 16 atoms:
Ho1 0.708 0.792 0.500
Ho2 0.375 0.625 0.750
Ho3 0.875 0.125 0.750
Ho4 0.375 0.625 0.250
Ho5 0.542 0.458 0.000
Ho6 0.208 0.292 0.500
Ho7 0.542 0.958 0.000
Ho8 0.375 0.125 0.750
Ho9 0.875 0.625 0.750
Ho10 0.042 0.958 0.000
Ho11 0.375 0.125 0.250
Ho12 0.875 0.625 0.250
Ho13 0.042 0.458 0.000
Ho14 0.875 0.125 0.250
Dy1 0.708 0.292 0.500
Er1 0.208 0.792 0.500


# 9
Material: TlSbRu2
Method: DFT, PBE-GGA
State: optimized geometry

E_tot   -5.902 eV per atom
Formation energy (no corrections)   0.3580 eV per atom

Lattice parameters (Å, degrees): 4.454 4.454 5.776 79.01 79.01 42.01
Fractional coordinates of all 4 atoms:
Tl1 0.250 0.250 0.250
Sb1 0.750 0.750 0.750
Ru1 0.003 0.003 0.961
Ru2 0.497 0.497 0.539


# 10
Material: Na2ZrI2
Method: DFT, PBE-GGA
State: optimized geometry

E_tot   -2.918 eV per atom
Formation energy (no corrections)   -0.0608 eV per atom

Lattice parameters (Å, degrees): 3.816 3.816 10.757 79.78 79.78 90.00
Fractional coordinates of all 5 atoms:
Na1 0.750 0.250 0.500
Na2 0.250 0.750 0.500
I1 0.416 0.416 0.167
I2 0.584 0.584 0.833
Zr1 0.000 0.000 0.000


# 11
Material: BaIn4CuAg2
Method: DFT, PBE-GGA
State: optimized geometry

ΔE_f   -124.2 meV per atom
E_tot   -2.959 eV per atom

Lattice parameters (Å, degrees): 4.770 4.770 10.699 77.12 77.12 60.00
Fractional coordinates of all 8 atoms:
In1 0.866 0.866 0.403
In2 0.407 0.407 0.779
In3 0.593 0.593 0.221
In4 0.134 0.134 0.597
Ag1 0.237 0.237 0.290
Ag2 0.763 0.763 0.710
Cu1 0.500 0.500 0.500
Ba1 0.000 0.000 0.000


# 12
Material: FePt2Br
Method: DFT, PBE-GGA
State: optimized geometry

E_tot   -4.949 eV per atom
Formation energy (no corrections)   0.6050 eV per atom

Lattice parameters (Å, degrees): 4.317 3.934 3.934 90.00 90.00 90.00
Fractional coordinates of all 4 atoms:
Pt1 0.000 0.500 0.500
Pt2 0.000 0.000 0.000
Br1 0.500 0.500 0.000
Fe1 0.500 0.000 0.500


Among the records above, which one has the highest E_tot? TlCdHCl2


Which formula does entry 3 have? GeBrF


Which value of E_tot does entry 10 give? -2.918 eV per atom


The lowest E_tot belongs to which entry? Re2PdCl